VASP calculation (PBE) on crystalline Sr6Se2S3Br at its relaxed geometry.

space group = C2/m
crystal system = monoclinic
magnetic moment = 0.0 μB/f.u.
total energy = -55.2 eV for the cell shown

Cell: 4.3549 8.7532 9.7604 Å, 103.36 102.89 90.00°
Atoms (fractional coordinates):
Sr  0.3256  0.9187  0.6513
Br  0.5000  0.0000  0.0000
Sr  0.3344  0.4128  0.6689
Se  0.8356  0.6713  0.6712
Sr  0.0023  0.7299  0.0046
Sr  0.9977  0.2701  0.9954
S  0.8360  0.1656  0.6719
S  0.5000  0.5000  0.0000
Sr  0.6744  0.0813  0.3487
Sr  0.6656  0.5872  0.3311
S  0.1640  0.8344  0.3281
Se  0.1644  0.3287  0.3288